No. 1
A plane-wave DFT calculation with PBEsol was carried out for crystalline RuWBr4 at its relaxed geometry.

```
RuWBr4
1.0
0.0000 4.1074 4.1074
4.1074 0.0000 4.1074
4.1074 4.1074 0.0000
Ru W Br
1 1 4
Direct
0.0000 0.0000 0.0000
0.7500 0.7500 0.7500
0.3749 0.3749 0.3749
0.3749 0.3749 0.8753
0.3749 0.8753 0.3749
0.8753 0.3749 0.3749
```

Values from the calculation:
Formation energy without anion corrections ... 2.092 eV per atom
DOS(E_F) ... 7.8 states/eV per cell



No. 2
A plane-wave DFT calculation with PBEsol was carried out for crystalline RuWBr2 at its relaxed geometry.

```
RuWBr2
1.0
-1.5348 1.6407 8.6915
1.5348 -1.6407 8.6915
1.5348 1.6407 -8.6915
Ru W Br
1 1 2
Direct
0.0000 0.0000 0.0000
0.4060 0.9060 0.5000
0.6019 0.6019 0.0000
0.8044 0.3044 0.5000
```

Values from the calculation:
Formation energy without anion corrections ... 0.421 eV per atom
DOS(E_F) ... 2.2 states/eV per cell